Arrangement 1

{"formula": "Pr5Tm4Sc2", "functional": "GGA-PBE", "state": "relaxed", "lattice": [[-1.7431, 4.5773, 11.5166], [1.7431, -4.5773, 11.5166], [1.7431, 4.5773, -11.5166]], "species": ["Pr", "Pr", "Pr", "Pr", "Pr", "Tm", "Tm", "Tm", "Tm", "Sc", "Sc"], "frac_coords": [[0.0000, 0.0000, 0.0000], [0.0531, 0.3488, 0.7043], [0.3555, 0.6512, 0.7043], [0.6445, 0.3488, 0.2957], [0.9469, 0.6512, 0.2957], [0.3160, 0.5000, 0.8160], [0.4016, 0.9016, 0.5000], [0.5984, 0.0984, 0.5000], [0.6840, 0.5000, 0.1840], [0.2703, 0.7703, 0.5000], [0.7297, 0.2297, 0.5000]], "space_group": "Immm (71)"}

Arrangement 2

{"formula": "Pr5Tm4Sc2", "functional": "GGA-PBE", "state": "relaxed", "lattice": [[9.0117, 0.0000, 0.0000], [0.0000, 3.5722, 0.0000], [-0.5890, 0.0000, 11.0571]], "species": ["Pr", "Pr", "Pr", "Pr", "Pr", "Tm", "Tm", "Tm", "Tm", "Sc", "Sc"], "frac_coords": [[0.0000, 0.0000, 0.0000], [0.0610, 0.0000, 0.3278], [0.3425, 0.0000, 0.8571], [0.6575, 0.0000, 0.1429], [0.9390, 0.0000, 0.6722], [0.2581, 0.5000, 0.5717], [0.3122, 0.5000, 0.1364], [0.6878, 0.5000, 0.8636], [0.7419, 0.5000, 0.4283], [0.4334, 0.0000, 0.3706], [0.5666, 0.0000, 0.6294]], "space_group": "P2/m (10)"}

Result of the stability comparison: arrangement 2 is the most stable of them.

Arrangement 1

{"formula": "PrTm2Sc3", "functional": "GGA-PBE", "state": "relaxed", "lattice": [[5.9500, 0.0000, 0.0000], [0.0000, 3.4481, 0.0000], [-1.9749, 0.0000, 16.4875]], "species": ["Pr", "Pr", "Tm", "Tm", "Tm", "Tm", "Sc", "Sc", "Sc", "Sc", "Sc", "Sc"], "frac_coords": [[0.0278, 0.2500, 0.3316], [0.9722, 0.7500, 0.6684], [0.2502, 0.2500, 0.0000], [0.4744, 0.2500, 0.6676], [0.5256, 0.7500, 0.3324], [0.7498, 0.7500, 0.0000], [0.1394, 0.7500, 0.1635], [0.2546, 0.7500, 0.5015], [0.3637, 0.7500, 0.8349], [0.6363, 0.2500, 0.1651], [0.7454, 0.2500, 0.4985], [0.8606, 0.2500, 0.8365]], "space_group": "P2_1/m (11)"}

Arrangement 2

{"formula": "PrTm2Sc3", "functional": "GGA-PBE", "state": "relaxed", "lattice": [[6.2761, 0.0000, 0.0000], [-3.1381, 5.4353, 0.0000], [0.0000, 0.0000, 10.5665]], "species": ["Pr", "Pr", "Tm", "Tm", "Tm", "Tm", "Sc", "Sc", "Sc", "Sc", "Sc", "Sc"], "frac_coords": [[0.3333, 0.6667, 0.4374], [0.6667, 0.3333, 0.5626], [0.0000, 0.0000, 0.0000], [0.0000, 0.0000, 0.5000], [0.3333, 0.6667, 0.0545], [0.6667, 0.3333, 0.9455], [0.1694, 0.3387, 0.7578], [0.1694, 0.8306, 0.7578], [0.3387, 0.1694, 0.2422], [0.6613, 0.8306, 0.7578], [0.8306, 0.1694, 0.2422], [0.8306, 0.6613, 0.2422]], "space_group": "P-3m1 (164)"}

Result of the stability comparison: arrangement 1 is the most stable of them.

Arrangement 1

{"formula": "Pr8TmSc2", "functional": "GGA-PBE", "state": "relaxed", "lattice": [[4.5461, -8.1274, 0.0000], [4.5461, 8.1274, 0.0000], [-3.0817, 0.0000, 5.0593]], "species": ["Pr", "Pr", "Pr", "Pr", "Pr", "Pr", "Pr", "Pr", "Tm", "Sc", "Sc"], "frac_coords": [[0.0957, 0.3340, 0.6696], [0.2086, 0.7914, 0.0000], [0.3340, 0.0957, 0.6696], [0.4172, 0.4172, 0.2048], [0.5828, 0.5828, 0.7952], [0.6660, 0.9043, 0.3304], [0.7914, 0.2086, 0.0000], [0.9043, 0.6660, 0.3304], [0.0000, 0.0000, 0.0000], [0.3098, 0.6902, 0.5000], [0.6902, 0.3098, 0.5000]], "space_group": "C2/m (12)"}

Arrangement 2

{"formula": "Pr8TmSc2", "functional": "GGA-PBE", "state": "relaxed", "lattice": [[-2.7768, 4.2794, 7.8708], [2.7768, -4.2794, 7.8708], [2.7768, 4.2794, -7.8708]], "species": ["Pr", "Pr", "Pr", "Pr", "Pr", "Pr", "Pr", "Pr", "Tm", "Sc", "Sc"], "frac_coords": [[0.1523, 0.3552, 0.7972], [0.1583, 0.1583, 0.0000], [0.3018, 0.0000, 0.3018], [0.4420, 0.6448, 0.7972], [0.5580, 0.3552, 0.2028], [0.6982, 0.0000, 0.6982], [0.8417, 0.8417, 0.0000], [0.8477, 0.6448, 0.2028], [0.0000, 0.5000, 0.5000], [0.2984, 0.7984, 0.5000], [0.7016, 0.2016, 0.5000]], "space_group": "Immm (71)"}

Result of the stability comparison: arrangement 2 is the most stable of them.

Arrangement 1

{"formula": "Pr4Tm4Sc", "functional": "GGA-PBE", "state": "relaxed", "lattice": [[-2.6527, 2.6527, 11.7126], [2.6527, -2.6527, 11.7126], [2.6527, 2.6527, -11.7126]], "species": ["Pr", "Pr", "Pr", "Pr", "Tm", "Tm", "Tm", "Tm", "Sc"], "frac_coords": [[0.1269, 0.1269, 0.5072], [0.3803, 0.8731, 0.0000], [0.6197, 0.6197, 0.4928], [0.8731, 0.3803, 0.0000], [0.0000, 0.5000, 0.5000], [0.2475, 0.2475, 0.0000], [0.5000, 0.0000, 0.5000], [0.7525, 0.7525, 0.0000], [0.5000, 0.5000, 0.0000]], "space_group": "I-42m (121)"}

Arrangement 2

{"formula": "Pr4Tm4Sc", "functional": "GGA-PBE", "state": "relaxed", "lattice": [[-5.3508, 5.3508, 2.5274], [5.3508, -5.3508, 2.5274], [5.3508, 5.3508, -2.5274]], "species": ["Pr", "Pr", "Pr", "Pr", "Tm", "Tm", "Tm", "Tm", "Sc"], "frac_coords": [[0.0000, 0.3270, 0.3270], [0.0000, 0.6730, 0.6730], [0.3270, 0.0000, 0.3270], [0.6730, 0.0000, 0.6730], [0.3367, 0.3367, 0.6733], [0.3367, 0.6633, 0.0000], [0.6633, 0.3367, 0.0000], [0.6633, 0.6633, 0.3267], [0.0000, 0.0000, 0.0000]], "space_group": "I4/mmm (139)"}

Result of the stability comparison: arrangement 2 is the most stable of them.